1.
This record from Alexandria describes a relaxed structure of Ba3Na2PdO6. The functional is PBE.

Structure (extended XYZ):
```
12
Lattice="6.127 0.000 0.000 -3.064 5.306 0.000 0.000 0.000 6.659" Properties=species:S:1:pos:R:3 pbc="T T T"
O 3.064 3.626 4.556
Pd 0.000 0.000 3.329
O 1.608 4.466 2.103
Na 0.000 3.538 0.990
O 0.000 1.680 2.103
Ba 0.000 3.538 4.046
Ba 3.064 1.769 2.613
Ba 0.000 0.000 0.000
O 1.455 0.840 4.556
Na 3.064 1.769 5.668
O -1.608 4.466 2.103
O 4.672 0.840 4.556
```

The total DFT energy (no corrections) is -62.80 eV per cell. The calculation puts the energy relative to the elements, uncorrected at -1.62 eV/atom.

=====

2.
This record from Alexandria describes a relaxed structure of Ba4NaPm3O8. The functional is PBE.

Structure (extended XYZ):
```
16
Lattice="-6.310 -0.376 3.740 3.760 -2.378 6.105 2.003 6.302 -3.197" Properties=species:S:1:pos:R:3 pbc="T T T"
Na 1.880 -1.189 3.053
Ba 0.000 0.000 0.000
Ba -2.153 2.963 0.271
O 0.507 2.543 1.111
O -1.053 1.004 5.537
O -0.615 -0.564 2.720
Ba -3.155 -0.188 1.870
O 0.069 4.112 3.928
O -3.587 -0.742 4.482
O 2.098 1.321 3.673
O -2.644 2.226 2.975
O 3.042 4.289 2.166
Ba 1.002 3.151 -1.599
Pm -0.273 1.774 3.324
Pm -1.275 -1.377 4.922
Pm 2.882 1.962 1.454
```

The total DFT energy (no corrections) is -104.20 eV per cell. The calculation puts the energy relative to the elements, uncorrected at -2.58 eV/atom.

=====

3.
This record from Alexandria describes a relaxed structure of BaNaPmO3. The functional is PBE.

Structure (extended XYZ):
```
12
Lattice="-0.105 1.128 3.564 4.625 -7.795 2.604 4.960 4.276 -1.206" Properties=species:S:1:pos:R:3 pbc="T T T"
Ba 3.220 -0.581 1.260
Pm 3.666 -4.340 2.463
O 3.472 1.768 2.486
O 3.341 -2.129 3.716
Na 3.571 2.796 0.202
O 3.633 -5.071 4.655
O 6.138 -0.263 1.246
Pm 5.814 1.949 2.499
Na 5.909 -5.188 4.760
Ba 6.260 -1.810 3.701
O 6.007 -4.160 2.475
O 5.847 2.679 0.306
```

The total DFT energy (no corrections) is -76.19 eV per cell. The calculation puts the energy relative to the elements, uncorrected at -2.54 eV/atom.

=====

- What is the formula in the second record?
  Ba4NaPm3O8